Record 1
Here is a relaxed structure of CsK2CuH from Alexandria. Energies are from GGA-PBE.

Properties
Theoretical density   1.7 Mg/m³
Total DFT energy (no corrections)   -0.1225 Ry/atom

a b c (Å): 6.2217 6.2217 6.8203
angles (deg): 90.00 90.00 90.00
Positions (direct):
Cs1 0.0000 0.0000 0.0000
K1 0.0000 0.5000 0.5000
K2 0.5000 0.0000 0.5000
Cu1 0.0000 0.0000 0.5000
H1 0.5000 0.5000 0.0000


Record 2
Here is a relaxed structure of CsMnCuH6 from Alexandria. Energies are from GGA-PBE.

Properties
Theoretical density   3.6 Mg/m³
Total DFT energy (no corrections)   -0.2815 Ry/atom

a b c (Å): 4.7440 4.7440 6.0818
angles (deg): 90.00 90.00 120.00
Positions (direct):
Cs1 0.0000 0.0000 0.0000
Mn1 0.6667 0.3333 0.5000
Cu1 0.3333 0.6667 0.5000
H1 0.5060 0.0120 0.3299
H2 0.5060 0.0120 0.6701
H3 0.5060 0.4940 0.3299
H4 0.5060 0.4940 0.6701
H5 0.9880 0.4940 0.3299
H6 0.9880 0.4940 0.6701


Record 3
Here is a relaxed structure of CsCuH6Pd from Alexandria. Energies are from GGA-PBE.

Properties
Theoretical density   4.1 Mg/m³
Total DFT energy (no corrections)   -0.2522 Ry/atom

a b c (Å): 4.7737 4.7737 6.2655
angles (deg): 90.00 90.00 120.00
Positions (direct):
Cs1 0.0000 0.0000 0.0000
Cu1 0.3333 0.6667 0.5000
H1 0.3920 0.0102 0.6431
H2 0.3920 0.3818 0.3569
H3 0.6182 0.0102 0.3569
H4 0.6182 0.6080 0.6431
H5 0.9898 0.3818 0.6431
H6 0.9898 0.6080 0.3569
Pd1 0.6667 0.3333 0.5000


Record 4
Here is a relaxed structure of CsCuH6Pt from Alexandria. Energies are from GGA-PBE.

Properties
Theoretical density   5.3 Mg/m³
Total DFT energy (no corrections)   -0.2673 Ry/atom

a b c (Å): 4.7875 4.7875 6.3230
angles (deg): 90.00 90.00 120.00
Positions (direct):
Cs1 0.0000 0.0000 0.0000
Cu1 0.3333 0.6667 0.5000
H1 0.3844 0.0273 0.6438
H2 0.3844 0.3571 0.3562
H3 0.6429 0.0273 0.3562
H4 0.6429 0.6156 0.6438
H5 0.9727 0.3571 0.6438
H6 0.9727 0.6156 0.3562
Pt1 0.6667 0.3333 0.5000


Record 5
Here is a relaxed structure of CsCuHPt from Alexandria. Energies are from GGA-PBE.

Properties
Theoretical density   7.7 Mg/m³
Relative energy among the computed polymorphs   8 meV/atom
Total DFT energy (no corrections)   -0.2634 Ry/atom

a b c (Å): 6.6347 6.6347 6.6347
angles (deg): 148.26 146.55 46.78
Positions (direct):
Cs1 0.0000 0.0000 0.0000
Cu1 0.7468 0.2468 0.5000
H1 0.2564 0.2564 0.0000
Pt1 0.2495 0.7495 0.5000


Record 6
Here is a relaxed structure of CsCuHPt from Alexandria. Energies are from GGA-PBE.

Properties
Theoretical density   7.2 Mg/m³
Relative energy among the computed polymorphs   41 meV/atom
Total DFT energy (no corrections)   -0.2609 Ry/atom

a b c (Å): 5.7127 4.5601 4.5601
angles (deg): 49.21 90.00 90.00
Positions (direct):
Cs1 0.0000 0.0000 0.0000
Cu1 0.5000 0.6387 0.6387
H1 0.5000 0.8566 0.8566
Pt1 0.5000 0.3414 0.3414


Record 7
Here is a relaxed structure of CsCuHPt from Alexandria. Energies are from GGA-PBE.

Properties
Theoretical density   7.7 Mg/m³
Relative energy among the computed polymorphs   18 meV/atom
Total DFT energy (no corrections)   -0.2626 Ry/atom

a b c (Å): 3.6364 3.8337 6.0880
angles (deg): 90.00 91.45 90.00
Positions (direct):
Cs1 0.0000 0.0000 0.0000
Cu1 0.4906 0.0000 0.5001
H1 0.4894 0.5000 0.4995
Pt1 0.9897 0.5000 0.4999


Record 8
Here is a relaxed structure of CsCuHPt from Alexandria. Energies are from GGA-PBE.

Properties
Theoretical density   7.7 Mg/m³
Relative energy among the computed polymorphs   0 meV/atom
Total DFT energy (no corrections)   -0.2640 Ry/atom

a b c (Å): 3.6786 3.7537 6.0975
angles (deg): 91.24 90.19 90.00
Positions (direct):
Cs1 0.0000 0.0000 0.0000
Cu1 0.9999 0.5036 0.5001
H1 0.9998 0.0036 0.5000
Pt1 0.4998 0.0038 0.5001


Record 9
Here is a relaxed structure of CsCuH8Pt2 from Alexandria. Energies are from GGA-PBE.

Properties
Theoretical density   6.6 Mg/m³
Total DFT energy (no corrections)   -0.2706 Ry/atom

a b c (Å): 7.7672 7.7672 7.7672
angles (deg): 36.65 36.65 36.65
Positions (direct):
Cs1 0.0000 0.0000 0.0000
Cu1 0.5000 0.5000 0.5000
H1 0.1191 0.4244 0.8419
H2 0.1581 0.8809 0.5756
H3 0.2698 0.2698 0.2698
H4 0.4244 0.8419 0.1191
H5 0.5756 0.1581 0.8809
H6 0.7302 0.7302 0.7302
H7 0.8419 0.1191 0.4244
H8 0.8809 0.5756 0.1581
Pt1 0.1934 0.1934 0.1934
Pt2 0.8066 0.8066 0.8066


Record 10
Here is a relaxed structure of Cs4Rb3CuH8 from Alexandria. Energies are from GGA-PBE.

Properties
Theoretical density   3.2 Mg/m³
Total DFT energy (no corrections)   -0.1712 Ry/atom

a b c (Å): 8.7959 8.7959 8.2735
angles (deg): 117.31 117.31 54.91
Positions (direct):
Cs1 0.0000 0.0000 0.0000
Cs2 0.0000 0.5000 0.5000
Cs3 0.5000 0.0000 0.5000
Cs4 0.5000 0.5000 0.0000
Rb1 0.0000 0.0000 0.5000
Rb2 0.0000 0.5000 0.0000
Rb3 0.5000 0.0000 0.0000
Cu1 0.5000 0.5000 0.5000
H1 0.2097 0.2097 0.1954
H2 0.2436 0.2436 0.7578
H3 0.3429 0.6556 0.6527
H4 0.3444 0.6571 0.3473
H5 0.6556 0.3429 0.6527
H6 0.6571 0.3444 0.3473
H7 0.7564 0.7564 0.2422
H8 0.7903 0.7903 0.8046


Record 11
Here is a relaxed structure of Cs2CuHS2 from Alexandria. Energies are from GGA-PBE.

Properties
Theoretical density   3.1 Mg/m³
Total DFT energy (no corrections)   -0.2387 Ry/atom

a b c (Å): 8.5147 8.5147 8.5147
angles (deg): 111.32 90.88 128.39
Positions (direct):
Cs1 0.1265 0.1718 0.2983
Cs2 0.3735 0.6718 0.0453
Cs3 0.6265 0.3282 0.9547
Cs4 0.8735 0.8282 0.7017
Cu1 0.2500 0.7500 0.5000
Cu2 0.7500 0.2500 0.5000
H1 0.2500 0.2500 0.0000
H2 0.7500 0.7500 0.0000
S1 0.0867 0.5745 0.6612
S2 0.4133 0.0745 0.4878
S3 0.5867 0.9255 0.5122
S4 0.9133 0.4255 0.3388


Record 12
Here is a relaxed structure of Cs2CuHSe2 from Alexandria. Energies are from GGA-PBE.

Properties
Theoretical density   3.5 Mg/m³
Total DFT energy (no corrections)   -0.2242 Ry/atom

a b c (Å): 8.8074 8.8074 8.8074
angles (deg): 113.22 89.21 128.29
Positions (direct):
Cs1 0.1206 0.1661 0.2867
Cs2 0.3794 0.6661 0.0455
Cs3 0.6206 0.3339 0.9545
Cs4 0.8794 0.8339 0.7133
Cu1 0.2500 0.7500 0.5000
Cu2 0.7500 0.2500 0.5000
H1 0.2500 0.2500 0.0000
H2 0.7500 0.7500 0.0000
Se1 0.0922 0.5800 0.6722
Se2 0.4078 0.0800 0.4878
Se3 0.5922 0.9200 0.5122
Se4 0.9078 0.4200 0.3278


Record 13
Here is a relaxed structure of CsCu2HSe from Alexandria. Energies are from GGA-PBE.

Properties
Theoretical density   5.1 Mg/m³
Total DFT energy (no corrections)   -0.2557 Ry/atom

a b c (Å): 6.4564 4.1308 8.3834
angles (deg): 90.00 96.19 90.00
Positions (direct):
Cs1 0.2315 0.2500 0.3467
Cs2 0.7685 0.7500 0.6533
Cu1 0.0808 0.2500 0.9363
Cu2 0.3411 0.7500 0.9616
Cu3 0.6589 0.2500 0.0384
Cu4 0.9192 0.7500 0.0637
H1 0.1661 0.7500 0.0901
H2 0.8339 0.2500 0.9099
Se1 0.3687 0.2500 0.7888
Se2 0.6313 0.7500 0.2112


Record 14
Here is a relaxed structure of Cs2Cu2HSe2 from Alexandria. Energies are from GGA-PBE.

Properties
Theoretical density   5.1 Mg/m³
Total DFT energy (no corrections)   -0.2473 Ry/atom

a b c (Å): 6.3390 6.3390 8.5212
angles (deg): 122.60 122.60 39.84
Positions (direct):
Cs1 0.0593 0.0593 0.3302
Cs2 0.9407 0.9407 0.6698
Cu1 0.3334 0.3334 0.9406
Cu2 0.6666 0.6666 0.0594
H1 0.5000 0.5000 0.0000
Se1 0.2815 0.2815 0.1956
Se2 0.7185 0.7185 0.8044


Record 15
Here is a relaxed structure of Cs2CuSnH6 from Alexandria. Energies are from GGA-PBE.

Properties
Theoretical density   4.5 Mg/m³
Total DFT energy (no corrections)   -0.2140 Ry/atom

a b c (Å): 6.5973 6.5973 6.5973
angles (deg): 129.49 129.49 74.22
Positions (direct):
Cs1 0.2500 0.7500 0.5000
Cs2 0.7500 0.2500 0.5000
Cu1 0.0000 0.0000 0.0000
Sn1 0.5000 0.5000 0.0000
H1 0.2193 0.2193 0.4387
H2 0.2193 0.7807 0.0000
H3 0.3063 0.3063 0.0000
H4 0.6937 0.6937 0.0000
H5 0.7807 0.2193 0.0000
H6 0.7807 0.7807 0.5613


Record 16
Here is a relaxed structure of Cs2Cu2Te2H from Alexandria. Energies are from GGA-PBE.

Properties
Theoretical density   5.2 Mg/m³
Total DFT energy (no corrections)   -0.2341 Ry/atom

a b c (Å): 6.7138 6.7138 8.7994
angles (deg): 122.96 122.96 39.69
Positions (direct):
Cs1 0.0574 0.0574 0.3252
Cs2 0.9426 0.9426 0.6748
Cu1 0.3442 0.3442 0.9448
Cu2 0.6558 0.6558 0.0552
Te1 0.2832 0.2832 0.1970
Te2 0.7168 0.7168 0.8030
H1 0.5000 0.5000 0.0000


Record 17
Here is a relaxed structure of CsTiCuH2 from Alexandria. Energies are from GGA-PBE.

Properties
Theoretical density   3.1 Mg/m³
Total DFT energy (no corrections)   -0.2218 Ry/atom

a b c (Å): 4.1502 4.1502 7.7260
angles (deg): 90.00 90.00 90.00
Positions (direct):
Cs1 0.0000 0.0000 0.0000
Ti1 0.0000 0.0000 0.5000
Cu1 0.5000 0.5000 0.0000
H1 0.0000 0.5000 0.5000
H2 0.5000 0.0000 0.5000


Record 18
Here is a relaxed structure of CsV2CuH from Alexandria. Energies are from GGA-PBE.

Properties
Theoretical density   5.0 Mg/m³
Total DFT energy (no corrections)   -0.2961 Ry/atom

a b c (Å): 4.1320 4.1320 5.8315
angles (deg): 90.00 90.00 90.00
Positions (direct):
Cs1 0.0000 0.0000 0.0000
V1 0.0000 0.5000 0.5000
V2 0.5000 0.0000 0.5000
Cu1 0.5000 0.5000 0.0000
H1 0.5000 0.5000 0.5000


Record 19
Here is a relaxed structure of CsZr2CuH from Alexandria. Energies are from GGA-PBE.

Properties
Theoretical density   4.4 Mg/m³
Total DFT energy (no corrections)   -0.1828 Ry/atom

a b c (Å): 5.3569 5.3569 4.9505
angles (deg): 90.00 90.00 90.00
Positions (direct):
Cs1 0.0000 0.0000 0.0000
Zr1 0.0000 0.5000 0.0000
Zr2 0.5000 0.0000 0.0000
Cu1 0.0000 0.0000 0.5000
H1 0.5000 0.5000 0.5000


Record 20
Here is a relaxed structure of CsHf3Cu from Alexandria. Energies are from GGA-PBE.

Properties
Theoretical density   9.2 Mg/m³
Relative energy among the computed polymorphs   0 meV/atom
Total DFT energy (no corrections)   -0.4349 Ry/atom
Energy relative to the elements   1.05 eV per atom

a b c (Å): 5.0946 5.0946 5.0946
angles (deg): 90.00 90.00 90.00
Positions (direct):
Cs1 0.0000 0.0000 0.0000
Hf1 0.0000 0.5000 0.5000
Hf2 0.5000 0.0000 0.5000
Hf3 0.5000 0.5000 0.0000
Cu1 0.5000 0.5000 0.5000


Record 21
Here is a relaxed structure of CsHfCu3 from Alexandria. Energies are from GGA-PBE.

Properties
Theoretical density   6.4 Mg/m³
Relative energy among the computed polymorphs   1194 meV/atom
Total DFT energy (no corrections)   -0.1881 Ry/atom
Energy relative to the elements   2.06 eV per atom

a b c (Å): 5.0593 5.0593 5.0593
angles (deg): 90.00 90.00 90.00
Positions (direct):
Cs1 0.0000 0.0000 0.0000
Hf1 0.5000 0.5000 0.5000
Cu1 0.0000 0.0000 0.5000
Cu2 0.0000 0.5000 0.0000
Cu3 0.5000 0.0000 0.0000


Record 22
Here is a relaxed structure of Cs2HfCu from Alexandria. Energies are from GGA-PBE.

Properties
Theoretical density   4.9 Mg/m³
Relative energy among the computed polymorphs   401 meV/atom
Total DFT energy (no corrections)   -0.1822 Ry/atom
Energy relative to the elements   1.46 eV per atom

a b c (Å): 6.2647 6.2647 6.2647
angles (deg): 60.00 60.00 60.00
Positions (direct):
Cs1 0.2500 0.2500 0.2500
Cs2 0.7500 0.7500 0.7500
Hf1 0.0000 0.0000 0.0000
Cu1 0.5000 0.5000 0.5000


Record 23
Here is a relaxed structure of Cs2HfCu from Alexandria. Energies are from GGA-PBE.

Properties
Theoretical density   3.6 Mg/m³
Relative energy among the computed polymorphs   0 meV/atom
Total DFT energy (no corrections)   -0.2116 Ry/atom
Energy relative to the elements   1.06 eV per atom

a b c (Å): 10.0733 10.0733 10.0733
angles (deg): 93.50 93.50 151.39
Positions (direct):
Cs1 0.3750 0.2012 0.3262
Cs2 0.7988 0.1250 0.1738
Cs3 0.8750 0.0488 0.6738
Cs4 0.9512 0.6250 0.8262
Hf1 0.2500 0.7500 0.5000
Hf2 0.5000 0.5000 0.0000
Cu1 0.0000 0.0000 0.0000
Cu2 0.7500 0.2500 0.5000


Record 24
Here is a relaxed structure of CsHf3Cu from Alexandria. Energies are from GGA-PBE.

Properties
Theoretical density   8.6 Mg/m³
Relative energy among the computed polymorphs   1504 meV/atom
Total DFT energy (no corrections)   -0.3243 Ry/atom
Energy relative to the elements   2.55 eV per atom

a b c (Å): 5.2166 5.2166 5.2166
angles (deg): 90.00 90.00 90.00
Positions (direct):
Cs1 0.0000 0.0000 0.0000
Hf1 0.0000 0.0000 0.5000
Hf2 0.0000 0.5000 0.0000
Hf3 0.5000 0.0000 0.0000
Cu1 0.5000 0.5000 0.5000


Record 25
Here is a relaxed structure of CsHfCu3 from Alexandria. Energies are from GGA-PBE.

Properties
Theoretical density   5.8 Mg/m³
Relative energy among the computed polymorphs   0 meV/atom
Total DFT energy (no corrections)   -0.2758 Ry/atom
Energy relative to the elements   0.87 eV per atom

a b c (Å): 5.2419 5.2419 5.2419
angles (deg): 90.00 90.00 90.00
Positions (direct):
Cs1 0.0000 0.0000 0.0000
Hf1 0.5000 0.5000 0.5000
Cu1 0.0000 0.5000 0.5000
Cu2 0.5000 0.0000 0.5000
Cu3 0.5000 0.5000 0.0000